Density functional theory data (PBE-GGA) for a relaxed Ba8HgRh2 crystal.

Unit cell a=9.2812 b=9.2812 c=6.5671 alpha=93.47 beta=93.47 gamma=78.46
Fractional positions:
1 Ba 0.1064 0.1064 0.2523
2 Ba 0.1410 0.6270 0.2601
3 Ba 0.3223 0.3223 0.7905
4 Ba 0.3730 0.8590 0.7399
5 Ba 0.6270 0.1410 0.2601
6 Ba 0.6777 0.6777 0.2095
7 Ba 0.8590 0.3730 0.7399
8 Ba 0.8936 0.8936 0.7477
9 Hg 0.5000 0.5000 0.5000
10 Rh 0.1174 0.1174 0.7529
11 Rh 0.8826 0.8826 0.2471

Properties
Electronic total energy   -32.221 eV/f.u.
Space-group type   C2/m, No. 12
Crystal system   monoclinic